The following is a DFT calculation (GGA-PBE) of a geometry-optimized Na14Mn2Se9 structure.

Output
Raw formation energy in eV/atom: -0.982
VASP energy in eV/f.u.: -92.7

```
Na14Mn2Se9
1.0
8.2449 0.0000 0.0000
-4.1224 7.1403 0.0000
0.0000 0.0000 11.5909
Se Na Mn
9 14 2
Direct
0.0533 0.3585 0.3365
0.0000 0.0000 0.0000
0.6667 0.3333 0.9630
0.9467 0.6415 0.6635
0.3585 0.3053 0.6635
0.3053 0.9467 0.3365
0.3333 0.6667 0.0370
0.6415 0.6947 0.3365
0.6947 0.0533 0.6635
0.9730 0.3265 0.0904
0.6264 0.6840 0.5926
0.0270 0.6735 0.9096
0.6465 0.9730 0.9096
0.6840 0.0576 0.4074
0.3736 0.3160 0.4074
0.9424 0.6264 0.4074
0.0576 0.3736 0.5926
0.0000 0.0000 0.7495
0.3265 0.3535 0.9096
0.6735 0.6465 0.0904
0.0000 0.0000 0.2505
0.3535 0.0270 0.0904
0.3160 0.9424 0.5926
0.6667 0.3333 0.7399
0.3333 0.6667 0.2601
```

The following is a DFT calculation (GGA-PBE) of a geometry-optimized Ba2TlPd6Pb structure.

Output
VASP energy in eV/f.u.: -45.0
ΔE_f in meV/atom: -389

```
Ba2TlPd6Pb
1.0
7.0592 0.0126 0.0002
-0.0518 7.0907 0.0947
3.4631 3.6026 5.0770
Tl Pd Pb Ba
1 6 1 2
Direct
0.0000 0.0000 0.0000
0.1165 0.1713 0.2180
0.6664 0.8798 0.5040
0.8276 0.3338 0.0534
0.3336 0.1202 0.4960
0.8835 0.8287 0.7820
0.1724 0.6662 0.9467
0.5000 0.5000 0.0000
0.2900 0.7082 0.4205
0.7100 0.2918 0.5795
```

The following is a DFT calculation (GGA-PBE) of a geometry-optimized IrRh2Pb structure.

Output
VASP energy in eV/f.u.: -26.3
ΔE_f in meV/atom: 234

```
IrRh2Pb
1.0
-1.8948 -2.2366 3.7290
-0.5085 -4.2634 2.0158
3.9436 0.0130 3.1758
Rh Pb Ir
2 1 1
Direct
0.7459 0.7459 0.2791
0.2541 0.2541 0.7209
0.5000 0.5000 0.0000
0.0000 0.0000 0.5000
```

The following is a DFT calculation (GGA-PBE) of a geometry-optimized NaTlGe structure.

Output
VASP energy in eV/f.u.: -8.3
ΔE_f in meV/atom: 11

```
NaTlGe
1.0
6.7267 -0.0030 -0.2468
0.0007 3.4519 0.0142
-2.8635 -1.7502 6.9915
Tl Na Ge
2 2 2
Direct
0.5461 0.7612 0.6768
0.2410 0.4297 0.0119
0.0051 0.7187 0.5914
0.7819 0.4722 0.0971
0.5823 0.0948 0.3424
0.2048 0.0965 0.3463
```

The following is a DFT calculation (GGA-PBE) of a geometry-optimized Li5Pb3Cl12 structure.

Output
Raw formation energy in eV/atom: -1.377
VASP energy in eV/f.u.: -70.4

```
Li5Pb3Cl12
1.0
-10.6329 -6.6058 -5.1989
10.8166 -8.1684 0.0363
-2.8204 3.8188 12.6959
Cl Li Pb
48 20 12
Direct
0.9081 0.0885 0.8776
0.5305 0.2109 0.1224
0.9695 0.5919 0.1804
0.0305 0.6224 0.7109
0.3196 0.5305 0.4081
0.9695 0.3776 0.2891
0.6224 0.5919 0.9115
0.7109 0.5885 0.1804
0.5305 0.3196 0.9081
0.1224 0.7109 0.5305
0.5885 0.8776 0.4081
0.2891 0.8776 0.9695
0.2109 0.5305 0.6224
0.3776 0.9695 0.7891
0.1804 0.0885 0.7109
0.6804 0.2109 0.5885
0.7109 0.1224 0.0305
0.3196 0.7891 0.4115
0.8196 0.9115 0.2891
0.8196 0.9081 0.0305
0.0885 0.9081 0.3776
0.3776 0.4081 0.0885
0.0305 0.4081 0.8196
0.4081 0.0305 0.3196
0.4695 0.7891 0.8776
0.2109 0.6804 0.0885
0.8776 0.5885 0.9081
0.5919 0.9695 0.6804
0.9115 0.0919 0.6224
0.0919 0.1804 0.4695
0.6224 0.0305 0.2109
0.5885 0.7109 0.6804
0.9115 0.8196 0.7891
0.4081 0.3776 0.5885
0.7891 0.3196 0.9115
0.4695 0.6804 0.0919
0.4115 0.1224 0.5919
0.9081 0.8196 0.5305
0.4115 0.2891 0.3196
0.8776 0.2891 0.4695
0.1804 0.0919 0.9695
0.2891 0.4115 0.8196
0.0885 0.1804 0.2109
0.5919 0.6224 0.4115
0.7891 0.4695 0.3776
0.1224 0.4115 0.0919
0.6804 0.4695 0.5919
0.0919 0.9115 0.1224
0.3750 0.1250 0.7500
0.2500 0.8750 0.1250
0.5000 0.5000 0.5000
0.6250 0.7500 0.8750
0.3750 0.2500 0.1250
0.8750 0.2500 0.6250
0.1250 0.3750 0.2500
0.8750 0.6250 0.7500
0.1250 0.7500 0.3750
0.2500 0.3750 0.6250
0.5000 0.5000 0.0000
0.0000 0.5000 0.0000
0.0000 0.5000 0.5000
0.7500 0.1250 0.8750
0.5000 0.0000 0.0000
0.0000 0.0000 0.0000
0.7500 0.6250 0.3750
0.0000 0.0000 0.5000
0.5000 0.0000 0.5000
0.6250 0.8750 0.2500
0.2500 0.6250 0.8750
0.3750 0.7500 0.6250
0.1250 0.8750 0.7500
0.1250 0.2500 0.8750
0.8750 0.7500 0.1250
0.6250 0.2500 0.3750
0.7500 0.8750 0.6250
0.7500 0.3750 0.1250
0.2500 0.1250 0.3750
0.8750 0.1250 0.2500
0.6250 0.3750 0.7500
0.3750 0.6250 0.2500
```

The following is a DFT calculation (GGA-PBE) of a geometry-optimized SmPuSe3 structure.

Output
E above lowest polymorph in kcal/mol of atoms: 0.00
Raw formation energy in eV/atom: -1.679
VASP energy in eV/f.u.: -37.9

```
SmPuSe3
1.0
-4.0544 -0.6952 0.4655
1.7670 -3.5120 10.1446
-1.3641 10.5633 3.8946
Se Pu Sm
12 4 4
Direct
0.2500 0.6278 0.5473
0.7500 0.1278 0.9527
0.2500 0.2970 0.7320
0.2500 0.2030 0.2320
0.7500 0.3722 0.4527
0.7500 0.4445 0.1205
0.2500 0.8722 0.0473
0.7500 0.7970 0.7680
0.2500 0.9445 0.3795
0.7500 0.0555 0.6205
0.2500 0.5555 0.8795
0.7500 0.7030 0.2680
0.2500 0.3122 0.9953
0.2500 0.1878 0.4953
0.7500 0.8122 0.5047
0.7500 0.6878 0.0047
0.2500 0.9959 0.8062
0.2500 0.5041 0.3062
0.7500 0.0041 0.1938
0.7500 0.4959 0.6938
```

The following is a DFT calculation (GGA-PBE) of a geometry-optimized MnSbSe structure.

Output
Raw formation energy in eV/atom: 0.037
VASP energy in eV/f.u.: -16.7

```
MnSbSe
1.0
4.5588 0.0000 0.0000
2.2794 3.9480 0.0000
2.2794 1.3160 3.7222
Se Mn Sb
1 1 1
Direct
0.5000 0.5000 0.5000
0.2500 0.2500 0.2500
0.0000 0.0000 0.0000
```

The following is a DFT calculation (GGA-PBE) of a geometry-optimized Mg2SnI6 structure.

Output
E above lowest polymorph in kcal/mol of atoms: 1.03
Raw formation energy in eV/atom: -0.813
VASP energy in eV/f.u.: -23.8

```
Mg2SnI6
1.0
7.8975 -0.3150 -0.3049
1.9034 9.9809 0.1191
1.9034 0.4425 9.9718
I Sn Mg
12 2 4
Direct
0.1359 0.7925 0.9670
0.3743 0.3835 0.8694
0.1262 0.4528 0.2887
0.6359 0.9670 0.7925
0.3738 0.7113 0.5472
0.8743 0.8694 0.3835
0.1257 0.1306 0.6165
0.8738 0.5472 0.7113
0.3641 0.0330 0.2075
0.8641 0.2075 0.0330
0.6257 0.6165 0.1306
0.6262 0.2887 0.4528
0.7500 0.8892 0.1108
0.2500 0.1108 0.8892
0.3210 0.2279 0.3899
0.6790 0.7721 0.6101
0.1790 0.6101 0.7721
0.8210 0.3899 0.2279
```